No. 1
Material: EuLuCuGe
Method: DFT, PBE
State: relaxed

Unit cell a=5.0209 b=5.0209 c=5.0209 alpha=60.00 beta=60.00 gamma=60.00
Last column: nearest neighbours and their distance in Å.
Fractional positions:
Lu  0.5000  0.5000  0.5000  4 Cu 3.07, 4 Ge 3.07
Cu  0.7500  0.7500  0.7500  4 Lu 3.07, 4 Eu 3.07
Eu  0.0000  0.0000  0.0000  4 Ge 3.07, 4 Cu 3.07
Ge  0.2500  0.2500  0.2500  4 Eu 3.07, 4 Lu 3.07

Computed properties:
DOS at the Fermi energy, states/eV/cell: 0.97
Energy relative to the elements, meV per atom: -430
Calculated volume, Å³ per cell: 89.5



No. 2
Material: Sc2Re2Pd
Method: DFT, PBE
State: relaxed

Unit cell a=3.5327 b=3.5327 c=8.2523 alpha=77.64 beta=77.64 gamma=90.00
Last column: nearest neighbours and their distance in Å.
Fractional positions:
Re  0.7500  0.2500  0.5000  4 Re 2.50
Re  0.2500  0.7500  0.5000  4 Re 2.50
Sc  0.3996  0.3996  0.2008  4 Re 2.94, 4 Pd 2.96, 1 Sc 3.16
Pd  0.0000  0.0000  0.0000  8 Sc 2.96
Sc  0.6004  0.6004  0.7992  4 Re 2.94, 4 Pd 2.96, 1 Sc 3.16

Computed properties:
DOS at the Fermi energy, states/eV/cell: 2.65
E above lowest polymorph, meV per atom: 0
Energy relative to the elements, meV per atom: -34
Calculated volume, Å³ per cell: 98.2